The following is a GGA-PBE calculation of a relaxed structure of YTcTe, from Alexandria.

Cell and atoms, written as POSCAR:
```
YTcTe
1.0
-3.8781 -0.0006 -2.0800
0.7083 -2.7819 3.3355
-3.0720 6.0832 5.7259
Te Tc Y
2 2 2
Cartesian
-3.5592 1.4682 1.9803
-3.2625 2.9808 6.0819
-1.6242 -0.2632 3.0284
-0.7530 1.4911 1.4035
-2.4556 -0.7172 -0.0767
-1.7949 3.5542 3.3454
```

The magnetization is 0.0 μB/cell. As for the crystal system: trigonal. The value obtained for the energy above the lowest structure with this stoichiometry is 5 meV per atom. For the calculated volume, the calculation gives 24.88 Å³/atom. The value obtained for the formation energy (no corrections) is -0.576 eV per atom.


The following is a GGA-PBE calculation of a relaxed structure of YTcTe, from Alexandria.

Cell and atoms, written as POSCAR:
```
YTcTe
1.0
10.3482 0.0000 0.0034
0.0000 4.1871 0.0000
-0.8174 0.0000 7.1128
Te Y Tc
4 4 4
Cartesian
5.8106 2.0935 0.1069
1.9001 0.0000 0.9177
5.4019 0.0000 3.6633
1.4914 2.0935 4.4741
3.6905 2.0935 2.3189
3.2818 0.0000 5.8753
9.4138 2.0935 6.6002
9.8225 0.0000 3.0438
7.8032 0.0000 0.3134
7.3945 2.0935 3.8698
8.1568 2.0935 1.6294
7.7481 0.0000 5.1858
```

The magnetization is 0.0 μB/cell. As for the crystal system: monoclinic. The value obtained for the energy above the lowest structure with this stoichiometry is 52 meV per atom. For the calculated volume, the calculation gives 25.68 Å³/atom. The value obtained for the formation energy (no corrections) is -0.530 eV per atom.


The following is a GGA-PBE calculation of a relaxed structure of YTc2Te, from Alexandria.

Cell and atoms, written as POSCAR:
```
YTc2Te
1.0
5.4083 -0.0014 0.0028
4.3877 3.1619 0.0028
1.7088 0.5513 4.6795
Te Tc Y
1 2 1
Cartesian
5.5612 1.7942 2.5305
8.6016 2.7751 3.7338
1.8607 0.6003 4.2389
2.9426 0.9494 1.2040
```

The magnetization is 0.0 μB/cell. As for the crystal system: monoclinic. For the calculated volume, the calculation gives 20.01 Å³/atom. The value obtained for the formation energy (no corrections) is 0.065 eV per atom.


The following is a GGA-PBE calculation of a relaxed structure of YTc2Te, from Alexandria.

Cell and atoms, written as POSCAR:
```
YTc2Te
1.0
-1.2123 -5.0810 -1.6029
2.0341 -4.1192 2.9580
-2.7280 4.6350 0.9644
Y Tc Te
1 2 1
Cartesian
-1.7647 -2.5230 0.0196
0.0000 0.0000 0.0000
-0.1415 -2.0422 2.3000
0.4109 -4.6001 0.6776
```

The magnetization is 0.1 μB/cell. As for the crystal system: tetragonal. For the calculated volume, the calculation gives 18.83 Å³/atom. The value obtained for the formation energy (no corrections) is 0.185 eV per atom.